1.
The following is a DFT calculation (PBE) of a relaxed CaHfSb2 crystal.

## Properties
**Uncorrected energy**: -5.403 eV per atom
**Energy above the most stable polymorph in this dataset**: 376 meV per atom
**ΔE_f (raw)**: -1.4 eV/f.u.
**ρ**: 6.74 g/cm³
**Calculated volume**: 227.62 Å³/cell

a b c (Å): 8.0320 8.0320 6.6862
angles (deg): 53.08 53.08 90.00
Positions (direct):
Sb  0.8750  0.8969  0.7500
Sb  0.6469  0.1250  0.2500
Sb  0.1031  0.6250  0.2500
Sb  0.3750  0.3531  0.7500
Ca  0.5000  0.5000  0.0000
Ca  0.2500  0.7500  0.5000
Hf  0.0000  0.0000  0.0000
Hf  0.7500  0.2500  0.5000

2.
The following is a DFT calculation (PBE) of a relaxed Y2Zn2Fe crystal.

## Properties
**Uncorrected energy**: -4.831 eV per atom
**Energy above the most stable polymorph in this dataset**: 0 meV per atom
**ρ**: 5.73 g/cm³
**Energy of formation from the pure elements**: -0.043 eV per atom
**Calculated volume**: 211.09 Å³/cell

a b c (Å): 6.9020 6.9020 4.4311
angles (deg): 90.00 90.00 90.00
Positions (direct):
Zn  0.8689  0.6311  0.0000
Zn  0.3689  0.8689  0.0000
Zn  0.1311  0.3689  0.0000
Zn  0.6311  0.1311  0.0000
Y  0.1778  0.6778  0.5000
Y  0.8222  0.3222  0.5000
Y  0.3222  0.1778  0.5000
Y  0.6778  0.8222  0.5000
Fe  0.5000  0.5000  0.0000
Fe  0.0000  0.0000  0.0000

3.
The following is a DFT calculation (PBE) of a relaxed ReINO2 crystal.

## Properties
**Uncorrected energy**: -6.281 eV per atom
**ΔE_f (raw)**: 0.8 eV/f.u.
**ρ**: 7.41 g/cm³
**Calculated volume**: 80.44 Å³/cell

a b c (Å): 3.7024 3.7024 5.8679
angles (deg): 90.00 90.00 90.00
Positions (direct):
Re  0.0000  0.0000  0.0000
I  0.0000  0.0000  0.5000
O  0.0000  0.5000  0.0000
O  0.5000  0.0000  0.0000
N  0.5000  0.5000  0.5000

4.
The following is a DFT calculation (PBE) of a relaxed CuTcF2 crystal.

## Properties
**Uncorrected energy**: -5.364 eV per atom
**Energy above the most stable polymorph in this dataset**: 0 meV per atom
**ΔE_f (raw)**: -3.3 eV/f.u.
**ρ**: 7.13 g/cm³
**Calculated volume**: 46.47 Å³/cell

a b c (Å): 7.5669 7.5669 7.5669
angles (deg): 20.49 20.49 20.49
Positions (direct):
Cu  0.5000  0.5000  0.5000
F  0.9080  0.9080  0.9080
F  0.0920  0.0920  0.0920
Tc  0.0000  0.0000  0.0000